(1)
This record from the Alexandria database describes a relaxed HoVSn2 crystal. The functional is PBE-GGA.

Output
Calculated volume ... 105.0 Å³/f.u.
Energy of formation ... 136 kJ/mol of formula units
Uncorrected energy ... -60.877 eV/cell

Lattice parameters (Å, degrees): 3.3428 3.3428 32.5349 90.00 90.00 120.00
Space group R-3m (No. 166, hexagonal axes)
One atom of each set of equivalent atoms:
1 Ho 0.0000 0.0000 0.0000 x3
2 V 0.0000 0.0000 0.5000 x3
3 Sn 0.0000 0.0000 0.4148 x6

(2)
This record from the Alexandria database describes a relaxed Ho6VSn10 crystal. The functional is PBE-GGA.

Output
Calculated volume ... 438.3 Å³/f.u.
Energy of formation ... -732 kJ/mol of formula units
Uncorrected energy ... -84.199 eV/cell

Lattice parameters (Å, degrees): 9.0749 9.0749 6.1455 90.00 90.00 120.00
Space group P-31m (No. 162)
One atom of each set of equivalent atoms:
1 Ho 0.0000 0.3919 0.2463 x6
2 V 0.0000 0.0000 0.0000 x1
3 Sn 0.0000 0.2304 0.7181 x6
4 Sn 0.3333 0.6667 0.0000 x2
5 Sn 0.3333 0.6667 0.5000 x2

(3)
This record from the Alexandria database describes a relaxed HoVSn crystal. The functional is PBE-GGA.

Output
Calculated volume ... 69.1 Å³/f.u.
Energy of formation ... 54 kJ/mol of formula units
Uncorrected energy ... -102.845 eV/cell

Lattice parameters (Å, degrees): 3.3499 3.3499 42.6556 90.00 90.00 120.00
Space group R-3m (No. 166, hexagonal axes)
One atom of each set of equivalent atoms:
1 Ho 0.0000 0.0000 0.0946 x6
2 V 0.0000 0.0000 0.1843 x6
3 Sn 0.0000 0.0000 0.3644 x6

(4)
This record from the Alexandria database describes a relaxed YHo2Sn crystal. The functional is PBE-GGA.

Output
Calculated volume ... 126.5 Å³/f.u.
Energy of formation ... 21 kJ/mol of formula units
Uncorrected energy ... -58.228 eV/cell

Lattice parameters (Å, degrees): 3.5044 3.5044 35.6826 90.00 90.00 120.00
Space group R-3m (No. 166, hexagonal axes)
One atom of each set of equivalent atoms:
1 Y 0.0000 0.0000 0.0000 x3
2 Ho 0.0000 0.0000 0.4130 x6
3 Sn 0.0000 0.0000 0.5000 x3

(5)
This record from the Alexandria database describes a relaxed YHo2Sn crystal. The functional is PBE-GGA.

Output
Calculated volume ... 122.1 Å³/f.u.
Energy of formation ... -146 kJ/mol of formula units
Uncorrected energy ... -84.549 eV/cell

Lattice parameters (Å, degrees): 4.245 12.271 9.376 90.00 90.00 90.00
Space group Cmcm (No. 63)
One atom of each set of equivalent atoms:
1 Y 0.000 0.058 0.250 x4
2 Ho 0.000 0.365 0.054 x8
3 Sn 0.000 0.247 0.750 x4

(6)
This record from the Alexandria database describes a relaxed YHo2Sn crystal. The functional is PBE-GGA.

Output
Calculated volume ... 118.2 Å³/f.u.
Energy of formation ... -116 kJ/mol of formula units
Uncorrected energy ... -20.822 eV/cell

Lattice parameters (Å, degrees): 3.685 3.685 8.707 90.00 90.00 90.00
Space group P4/mmm (No. 123)
One atom of each set of equivalent atoms:
1 Y 0.000 0.000 0.000 x1
2 Ho 0.500 0.500 0.280 x2
3 Sn 0.000 0.000 0.500 x1

(7)
This record from the Alexandria database describes a relaxed Y3HoSn2 crystal. The functional is PBE-GGA.

Output
Calculated volume ... 198.6 Å³/f.u.
Energy of formation ... -198 kJ/mol of formula units
Uncorrected energy ... -136.105 eV/cell

Lattice parameters (Å, degrees): 7.288 14.428 7.556 90.00 90.00 90.00
Space group Ibam (No. 72)
One atom of each set of equivalent atoms:
1 Y 0.000 0.000 0.250 x4
2 Y 0.000 0.287 0.250 x8
3 Ho 0.000 0.500 0.000 x4
4 Sn 0.185 0.142 0.000 x8

(8)
This record from the Alexandria database describes a relaxed YHo2Sn crystal. The functional is PBE-GGA.

Output
Calculated volume ... 110.4 Å³/f.u.
Energy of formation ... -158 kJ/mol of formula units
Uncorrected energy ... -21.264 eV/cell

Lattice parameters (Å, degrees): 4.786 4.786 4.821 90.00 90.00 90.00
Space group P4/mmm (No. 123)
One atom of each set of equivalent atoms:
1 Y 0.000 0.000 0.000 x1
2 Ho 0.000 0.500 0.500 x2
3 Sn 0.500 0.500 0.000 x1

(9)
This record from the Alexandria database describes a relaxed YHoSn6 crystal. The functional is PBE-GGA.

Output
Calculated volume ... 209.6 Å³/f.u.
Energy of formation ... -322 kJ/mol of formula units
Uncorrected energy ... -38.400 eV/cell

Lattice parameters (Å, degrees): 4.792 4.792 9.126 90.00 90.00 90.00
Space group P4/mmm (No. 123)
One atom of each set of equivalent atoms:
1 Y 0.000 0.000 0.000 x1
2 Ho 0.000 0.000 0.500 x1
3 Sn 0.000 0.500 0.251 x4
4 Sn 0.500 0.500 0.000 x1
5 Sn 0.500 0.500 0.500 x1

(10)
This record from the Alexandria database describes a relaxed YHo3Sn2 crystal. The functional is PBE-GGA.

Output
Calculated volume ... 175.4 Å³/f.u.
Energy of formation ... -287 kJ/mol of formula units
Uncorrected energy ... -124.714 eV/cell

Lattice parameters (Å, degrees): 17.845 4.518 9.510 90.00 113.79 90.00
Space group C2/m (No. 12)
One atom of each set of equivalent atoms:
1 Y 0.114 0.000 0.125 x4
2 Ho 0.055 0.000 0.689 x4
3 Ho 0.147 0.500 0.484 x4
4 Ho 0.192 0.500 0.891 x4
5 Sn 0.007 0.500 0.852 x4
6 Sn 0.246 0.000 0.719 x4

(11)
This record from the Alexandria database describes a relaxed Y5HoSn4 crystal. The functional is PBE-GGA.

Output
Calculated volume ... 320.2 Å³/f.u.
Energy of formation ... -336 kJ/mol of formula units
Uncorrected energy ... -112.791 eV/cell

Lattice parameters (Å, degrees): 18.948 3.701 9.488 90.00 105.75 90.00
Space group C2/m (No. 12)
One atom of each set of equivalent atoms:
1 Y 0.000 0.000 0.000 x2
2 Y 0.165 0.500 0.313 x4
3 Y 0.174 0.500 0.860 x4
4 Ho 0.000 0.000 0.500 x2
5 Sn 0.004 0.500 0.755 x4
6 Sn 0.168 0.000 0.588 x4

(12)
This record from the Alexandria database describes a relaxed Y12Ho3Sn5 crystal. The functional is PBE-GGA.

Output
Calculated volume ... 767.2 Å³/f.u.
Energy of formation ... 624 kJ/mol of formula units
Uncorrected energy ... -838.759 eV/cell

Lattice parameters (Å, degrees): 18.309 18.309 18.309 90.00 90.00 90.00
Space group Ia-3d (No. 230)
One atom of each set of equivalent atoms:
1 Y 0.026 0.074 0.645 x96
2 Ho 0.000 0.250 0.125 x24
3 Sn 0.000 0.000 0.000 x16
4 Sn 0.000 0.250 0.375 x24